(1)
ThAl2Pt3: optimized geometry, PBE.

The value obtained for the formation energy is -1.09 eV/atom. As for the total magnetization: 0.0 Bohr magnetons per cell.

The space group is Cmcm (No. 63) and the conventional cell measures 10.036, 8.187 and 5.450 Å, with angles of 90.00, 90.00 and 90.00 degrees. The inequivalent atoms are Th at (0.000, 0.179, 0.250), Al at (0.215, 0.500, 0.000), Pt at (0.000, 0.470, 0.750) and Pt at (0.162, 0.201, 0.750).

***

(2)
ThAl2Pt8: optimized geometry, PBE.

The value obtained for the formation energy is -0.52 eV/atom. As for the total magnetization: 0.0 Bohr magnetons per cell.

The space group is P4/mmm (No. 123) and the conventional cell measures 5.436, 5.436 and 7.685 Å, with angles of 90.00, 90.00 and 90.00 degrees. The inequivalent atoms are Th at (0.000, 0.000, 0.000), Al at (0.000, 0.500, 0.500) and Pt at (0.255, 0.255, 0.280).

***

(3)
Th3Al7Pt4: optimized geometry, PBE.

The value obtained for the formation energy is -0.97 eV/atom. As for the total magnetization: 0.0 Bohr magnetons per cell.

The space group is C2/m (No. 12) and the conventional cell measures 15.937, 4.336 and 9.573 Å, with angles of 90.00, 124.58 and 90.00 degrees. The inequivalent atoms are Th at (0.000, 0.000, 0.000), Th at (0.189, 0.500, 0.691), Al at (0.000, 0.000, 0.500), Al at (0.003, 0.500, 0.290), Al at (0.157, 0.000, 0.427), Al at (0.179, 0.500, 0.027), Pt at (0.121, 0.000, 0.847) and Pt at (0.155, 0.500, 0.274).

***

(4)
ThAl2Pt: optimized geometry, PBE.

The value obtained for the formation energy is -0.86 eV/atom. As for the total magnetization: 0.0 Bohr magnetons per cell.

The space group is Pnma (No. 62) and the conventional cell measures 16.314, 6.999 and 5.674 Å, with angles of 90.00, 90.00 and 90.00 degrees. The inequivalent atoms are Th at (0.108, 0.250, 0.231), Th at (0.145, 0.750, 0.467), Al at (0.034, 0.055, 0.738), Al at (0.214, 0.558, 0.958), Pt at (0.071, 0.750, 0.985) and Pt at (0.174, 0.250, 0.724).

***

(5)
Th2Al9Pt3: optimized geometry, PBE.

The value obtained for the formation energy is -0.74 eV/atom. As for the total magnetization: 0.0 Bohr magnetons per cell.

The space group is C2/c (No. 15) and the conventional cell measures 13.326, 7.695 and 10.835 Å, with angles of 90.00, 114.49 and 90.00 degrees. The inequivalent atoms are Th at (0.165, 0.084, 0.251), Al at (0.000, 0.376, 0.250), Al at (0.062, 0.085, 0.935), Al at (0.101, 0.416, 0.058), Al at (0.102, 0.316, 0.750), Al at (0.226, 0.418, 0.434), Pt at (0.086, 0.250, 0.506) and Pt at (0.250, 0.250, 0.000).

***

(6)
ThAl6Pt12: optimized geometry, PBE.

The value obtained for the formation energy is -0.83 eV/atom. As for the total magnetization: 0.0 Bohr magnetons per cell.

The space group is R-3m (No. 166, hexagonal axes) and the conventional cell measures 11.6492, 11.6492 and 8.2226 Å, with angles of 90.00, 90.00 and 120.00 degrees. The inequivalent atoms are Th at (0.0000, 0.0000, 0.0000), Al at (0.0488, 0.5244, 0.2504), Pt at (0.0000, 0.3758, 0.5000) and Pt at (0.0801, 0.1602, 0.3038).

***

(7)
Th3AlPt12: optimized geometry, PBE.

The value obtained for the formation energy is -0.99 eV/atom. As for the total magnetization: 0.0 Bohr magnetons per cell.

The space group is P4/mmm (No. 123) and the conventional cell measures 4.191, 4.191 and 16.438 Å, with angles of 90.00, 90.00 and 90.00 degrees. The inequivalent atoms are Th at (0.000, 0.000, 0.000), Th at (0.000, 0.000, 0.262), Al at (0.000, 0.000, 0.500), Pt at (0.000, 0.500, 0.130), Pt at (0.000, 0.500, 0.390), Pt at (0.500, 0.500, 0.000), Pt at (0.500, 0.500, 0.259) and Pt at (0.500, 0.500, 0.500).

***

(8)
ThAlPt4: optimized geometry, PBE.

The value obtained for the formation energy is -0.86 eV/atom. The value obtained for the energy above the most stable polymorph in this dataset is 159 meV per atom. As for the total magnetization: 0.0 Bohr magnetons per cell.

The space group is F-43m (No. 216) and the conventional cell measures 7.643, 7.643 and 7.643 Å, with angles of 90.00, 90.00 and 90.00 degrees. The inequivalent atoms are Th at (0.000, 0.000, 0.000), Al at (0.250, 0.250, 0.250) and Pt at (0.124, 0.124, 0.624).